SmTlHgS3 | PBE-GGA | optimized geometry

a b c (Å): 10.916 4.188 14.389
angles (deg): 90.00 90.00 90.00
Space group Pnma (No. 62)
Symmetry-distinct sites (fractional):
1 Sm 0.012 0.250 0.244 (multiplicity 4)
2 Tl 0.233 0.750 0.478 (multiplicity 4)
3 Hg 0.239 0.250 0.691 (multiplicity 4)
4 S 0.028 0.250 0.626 (multiplicity 4)
5 S 0.058 0.750 0.116 (multiplicity 4)
6 S 0.240 0.750 0.813 (multiplicity 4)

=====

SmTlHgS3 | PBE-GGA | optimized geometry

a b c (Å): 8.126 4.385 16.627
angles (deg): 90.00 90.00 90.00
Space group Pnma (No. 62)
Symmetry-distinct sites (fractional):
1 Sm 0.228 0.250 0.039 (multiplicity 4)
2 Tl 0.065 0.250 0.803 (multiplicity 4)
3 Hg 0.086 0.250 0.344 (multiplicity 4)
4 S 0.001 0.250 0.578 (multiplicity 4)
5 S 0.124 0.750 0.950 (multiplicity 4)
6 S 0.222 0.250 0.206 (multiplicity 4)

=====

SmTlHgS3 | PBE-GGA | optimized geometry

a b c (Å): 14.346 4.176 11.188
angles (deg): 90.00 90.00 90.00
Space group Pnma (No. 62)
Symmetry-distinct sites (fractional):
1 Sm 0.026 0.250 0.154 (multiplicity 4)
2 Tl 0.247 0.250 0.451 (multiplicity 4)
3 Hg 0.021 0.750 0.393 (multiplicity 4)
4 S 0.088 0.750 0.623 (multiplicity 4)
5 S 0.093 0.250 0.923 (multiplicity 4)
6 S 0.146 0.750 0.232 (multiplicity 4)

=====

SmTlHgS3 | PBE-GGA | optimized geometry

a b c (Å): 4.189 14.320 10.881
angles (deg): 90.00 90.00 90.00
Space group Cmcm (No. 63)
Symmetry-distinct sites (fractional):
1 Sm 0.000 0.000 0.000 (multiplicity 4)
2 Tl 0.000 0.264 0.250 (multiplicity 4)
3 Hg 0.000 0.448 0.750 (multiplicity 4)
4 S 0.000 0.068 0.750 (multiplicity 4)
5 S 0.000 0.371 0.546 (multiplicity 8)

=====

Record order is preserved below.
Polymorph energy (0 for the lowest one): 0.000; 0.068; 0.020; 0.002 eV/atom